[1]
# GGA-PBE Sm2FeGe3, relaxed
data_Sm2FeGe3
_chemical_formula_sum 'Sm4 Fe2 Ge6'
_space_group_name_H-M_alt 'P 1'
_space_group_IT_number 1
_space_group_name_Hall 'P 1'
_cell_length_a 5.901
_cell_length_b 5.901
_cell_length_c 8.369
_cell_angle_alpha 110.27
_cell_angle_beta 110.27
_cell_angle_gamma 90.99
loop_
_atom_site_label
_atom_site_type_symbol
_atom_site_fract_x
_atom_site_fract_y
_atom_site_fract_z
_atom_site_occupancy
Ge1 Ge 0.826 0.348 0.173 1
Sm1 Sm 0.753 0.753 0.000 1
Ge2 Ge 0.652 0.174 0.827 1
Sm2 Sm 0.247 0.247 0.000 1
Ge3 Ge 0.174 0.174 0.349 1
Sm3 Sm 0.750 0.250 0.500 1
Fe1 Fe 0.665 0.665 0.330 1
Ge4 Ge 0.348 0.826 0.173 1
Ge5 Ge 0.826 0.826 0.651 1
Fe2 Fe 0.335 0.335 0.670 1
Sm4 Sm 0.250 0.750 0.500 1
Ge6 Ge 0.174 0.652 0.827 1
# total moment = 1.902 μB per formula unit
# calculated total energy = -70.5 eV for the cell shown
# formation energy from the elements = -0.58 eV per atom

---

[2]
# GGA-PBE Sr5Ag, relaxed
data_Sr5Ag
_chemical_formula_sum 'Sr5 Ag1'
_space_group_name_H-M_alt 'P 1'
_space_group_IT_number 1
_space_group_name_Hall 'P 1'
_cell_length_a 7.453
_cell_length_b 7.453
_cell_length_c 10.054
_cell_angle_alpha 69.47
_cell_angle_beta 69.47
_cell_angle_gamma 32.39
loop_
_atom_site_label
_atom_site_type_symbol
_atom_site_fract_x
_atom_site_fract_y
_atom_site_fract_z
_atom_site_occupancy
Sr1 Sr 0.646 0.646 0.764 1
Ag1 Ag 0.973 0.973 0.054 1
Sr2 Sr 0.598 0.598 0.182 1
Sr3 Sr 0.346 0.346 0.930 1
Sr4 Sr 0.298 0.298 0.348 1
Sr5 Sr 0.972 0.972 0.556 1
# total moment = 0.000 μB per formula unit
# calculated total energy = -11.7 eV for the cell shown
# offset from the most stable computed form = 20 meV per atom
# formation energy from the elements = -0.07 eV per atom

---

[3]
# GGA-PBE AcHfTiO6, relaxed
data_AcHfTiO6
_chemical_formula_sum 'Ac2 Hf2 Ti2 O12'
_space_group_name_H-M_alt 'P 1'
_space_group_IT_number 1
_space_group_name_Hall 'P 1'
_cell_length_a 5.390
_cell_length_b 5.390
_cell_length_c 10.539
_cell_angle_alpha 90.00
_cell_angle_beta 90.00
_cell_angle_gamma 120.00
loop_
_atom_site_label
_atom_site_type_symbol
_atom_site_fract_x
_atom_site_fract_y
_atom_site_fract_z
_atom_site_occupancy
O1 O 0.014 0.381 0.145 1
O2 O 0.986 0.368 0.645 1
O3 O 0.986 0.619 0.855 1
O4 O 0.368 0.986 0.145 1
Hf1 Hf 0.667 0.333 0.250 1
O5 O 0.368 0.381 0.355 1
Ac1 Ac 0.000 0.000 0.000 1
Hf2 Hf 0.333 0.667 0.750 1
O6 O 0.619 0.986 0.355 1
O7 O 0.381 0.014 0.645 1
O8 O 0.632 0.619 0.645 1
O9 O 0.632 0.014 0.855 1
O10 O 0.619 0.632 0.145 1
Ac2 Ac 0.000 0.000 0.500 1
Ti1 Ti 0.333 0.667 0.250 1
Ti2 Ti 0.667 0.333 0.750 1
O11 O 0.381 0.368 0.855 1
O12 O 0.014 0.632 0.355 1
# total moment = 0.929 μB per formula unit
# calculated total energy = -158.8 eV for the cell shown
# E_form (uncorrected) = -3.08 eV per atom

---

[4]
# GGA-PBE PmHo8Bi6, relaxed
data_PmHo8Bi6
_chemical_formula_sum 'Pm1 Ho8 Bi6'
_space_group_name_H-M_alt 'P 1'
_space_group_IT_number 1
_space_group_name_Hall 'P 1'
_cell_length_a 7.653
_cell_length_b 7.653
_cell_length_c 10.757
_cell_angle_alpha 69.16
_cell_angle_beta 69.16
_cell_angle_gamma 60.00
loop_
_atom_site_label
_atom_site_type_symbol
_atom_site_fract_x
_atom_site_fract_y
_atom_site_fract_z
_atom_site_occupancy
Ho1 Ho 0.794 0.124 0.635 1
Bi1 Bi 0.725 0.404 0.810 1
Ho2 Ho 0.552 0.206 0.365 1
Ho3 Ho 0.206 0.876 0.365 1
Ho4 Ho 0.448 0.794 0.635 1
Bi2 Bi 0.404 0.062 0.810 1
Ho5 Ho 0.876 0.552 0.365 1
Bi3 Bi 0.062 0.725 0.810 1
Bi4 Bi 0.275 0.596 0.190 1
Ho6 Ho 0.666 0.666 0.001 1
Ho7 Ho 0.334 0.334 0.999 1
Ho8 Ho 0.124 0.448 0.635 1
Bi5 Bi 0.596 0.938 0.190 1
Pm1 Pm 0.000 0.000 0.000 1
Bi6 Bi 0.938 0.275 0.190 1
# total moment = 0.000 μB per formula unit
# calculated total energy = -72.2 eV for the cell shown
# formation energy from the elements = -0.51 eV per atom

---

[5]
# GGA-PBE VFe4Au, relaxed
data_VFe4Au
_chemical_formula_sum 'V1 Fe4 Au1'
_space_group_name_H-M_alt 'P 1'
_space_group_IT_number 1
_space_group_name_Hall 'P 1'
_cell_length_a 4.770
_cell_length_b 4.770
_cell_length_c 4.770
_cell_angle_alpha 60.00
_cell_angle_beta 60.00
_cell_angle_gamma 60.00
loop_
_atom_site_label
_atom_site_type_symbol
_atom_site_fract_x
_atom_site_fract_y
_atom_site_fract_z
_atom_site_occupancy
Fe1 Fe 0.625 0.125 0.625 1
Fe2 Fe 0.625 0.625 0.125 1
V1 V 0.250 0.250 0.250 1
Fe3 Fe 0.125 0.625 0.625 1
Fe4 Fe 0.625 0.625 0.625 1
Au1 Au 0.000 0.000 0.000 1
# total moment = 6.429 μB per formula unit
# calculated total energy = -46.3 eV for the cell shown
# formation energy from the elements = -0.01 eV per atom

---

[6]
# GGA-PBE Ca5Ga2Pd, relaxed
data_Ca5Ga2Pd
_chemical_formula_sum 'Ca10 Ga4 Pd2'
_space_group_name_H-M_alt 'P 1'
_space_group_IT_number 1
_space_group_name_Hall 'P 1'
_cell_length_a 7.682
_cell_length_b 7.682
_cell_length_c 9.388
_cell_angle_alpha 114.15
_cell_angle_beta 114.15
_cell_angle_gamma 90.00
loop_
_atom_site_label
_atom_site_type_symbol
_atom_site_fract_x
_atom_site_fract_y
_atom_site_fract_z
_atom_site_occupancy
Ca1 Ca 0.000 0.000 0.000 1
Ca2 Ca 0.474 0.323 0.297 1
Ca3 Ca 0.026 0.526 0.703 1
Ca4 Ca 0.500 0.500 0.000 1
Ga1 Ga 0.617 0.117 0.000 1
Pd1 Pd 0.250 0.250 0.500 1
Ga2 Ga 0.883 0.617 0.000 1
Ca5 Ca 0.526 0.677 0.703 1
Pd2 Pd 0.750 0.750 0.500 1
Ca6 Ca 0.823 0.974 0.297 1
Ca7 Ca 0.177 0.026 0.703 1
Ca8 Ca 0.974 0.474 0.297 1
Ga3 Ga 0.117 0.383 0.000 1
Ga4 Ga 0.383 0.883 0.000 1
Ca9 Ca 0.677 0.177 0.703 1
Ca10 Ca 0.323 0.823 0.297 1
# total moment = 0.000 μB per formula unit
# calculated total energy = -49.2 eV for the cell shown
# formation energy from the elements = -0.42 eV per atom

---

[7]
# GGA-PBE MnFeSbRu, relaxed
data_MnFeSbRu
_chemical_formula_sum 'Mn1 Fe1 Sb1 Ru1'
_space_group_name_H-M_alt 'P 1'
_space_group_IT_number 1
_space_group_name_Hall 'P 1'
_cell_length_a 4.322
_cell_length_b 4.322
_cell_length_c 4.322
_cell_angle_alpha 60.00
_cell_angle_beta 60.00
_cell_angle_gamma 60.00
loop_
_atom_site_label
_atom_site_type_symbol
_atom_site_fract_x
_atom_site_fract_y
_atom_site_fract_z
_atom_site_occupancy
Ru1 Ru 0.500 0.500 0.500 1
Sb1 Sb 0.250 0.250 0.250 1
Mn1 Mn 0.750 0.750 0.750 1
Fe1 Fe 0.000 0.000 0.000 1
# total moment = 4.035 μB per formula unit
# calculated total energy = -31.0 eV for the cell shown
# E_form (uncorrected) = 0.01 eV per atom

---

[8]
# GGA-PBE Rb3TmAg2F9, relaxed
data_Rb3TmAg2F9
_chemical_formula_sum 'Rb3 Tm1 Ag2 F9'
_space_group_name_H-M_alt 'P 1'
_space_group_IT_number 1
_space_group_name_Hall 'P 1'
_cell_length_a 6.377
_cell_length_b 6.377
_cell_length_c 7.937
_cell_angle_alpha 90.00
_cell_angle_beta 90.00
_cell_angle_gamma 120.00
loop_
_atom_site_label
_atom_site_type_symbol
_atom_site_fract_x
_atom_site_fract_y
_atom_site_fract_z
_atom_site_occupancy
F1 F 0.157 0.314 0.343 1
F2 F 0.157 0.843 0.343 1
Ag1 Ag 0.333 0.667 0.169 1
Rb1 Rb 0.333 0.667 0.704 1
F3 F 0.314 0.157 0.657 1
Rb2 Rb 0.000 0.000 0.000 1
F4 F 0.686 0.843 0.343 1
Rb3 Rb 0.667 0.333 0.296 1
F5 F 0.843 0.686 0.657 1
F6 F 0.500 0.000 0.000 1
F7 F 0.000 0.500 0.000 1
Ag2 Ag 0.667 0.333 0.831 1
F8 F 0.500 0.500 0.000 1
Tm1 Tm 0.000 0.000 0.500 1
F9 F 0.843 0.157 0.657 1
# total moment = 1.068 μB per formula unit
# calculated total energy = -69.0 eV for the cell shown
# E_form (uncorrected) = -2.61 eV per atom

---

[9]
# GGA-PBE Sm5TlIn2Ir2, relaxed
data_Sm5TlIn2Ir2
_chemical_formula_sum 'Sm10 Tl2 In4 Ir4'
_space_group_name_H-M_alt 'P 1'
_space_group_IT_number 1
_space_group_name_Hall 'P 1'
_cell_length_a 3.771
_cell_length_b 12.137
_cell_length_c 12.137
_cell_angle_alpha 90.00
_cell_angle_beta 90.00
_cell_angle_gamma 90.00
loop_
_atom_site_label
_atom_site_type_symbol
_atom_site_fract_x
_atom_site_fract_y
_atom_site_fract_z
_atom_site_occupancy
Sm1 Sm 0.500 0.707 0.425 1
Tl1 Tl 0.000 0.500 0.500 1
Ir1 Ir 0.000 0.369 0.131 1
Ir2 Ir 0.000 0.131 0.631 1
Sm2 Sm 0.500 0.075 0.793 1
Tl2 Tl 0.000 0.000 0.000 1
Sm3 Sm 0.500 0.500 0.000 1
In1 In 0.000 0.677 0.177 1
In2 In 0.000 0.323 0.823 1
Ir3 Ir 0.000 0.631 0.869 1
Sm4 Sm 0.500 0.793 0.925 1
Sm5 Sm 0.500 0.293 0.575 1
Sm6 Sm 0.500 0.207 0.075 1
In3 In 0.000 0.177 0.323 1
Sm7 Sm 0.500 0.000 0.500 1
Sm8 Sm 0.500 0.575 0.707 1
In4 In 0.000 0.823 0.677 1
Sm9 Sm 0.500 0.425 0.293 1
Ir4 Ir 0.000 0.869 0.369 1
Sm10 Sm 0.500 0.925 0.207 1
# total moment = 0.000 μB per formula unit
# calculated total energy = -108.3 eV for the cell shown
# formation energy from the elements = -0.50 eV per atom

---

[10]
# GGA-PBE SrVHg2S, relaxed
data_SrVHg2S
_chemical_formula_sum 'Sr1 V1 Hg2 S1'
_space_group_name_H-M_alt 'P 1'
_space_group_IT_number 1
_space_group_name_Hall 'P 1'
_cell_length_a 5.391
_cell_length_b 5.391
_cell_length_c 4.515
_cell_angle_alpha 90.00
_cell_angle_beta 90.00
_cell_angle_gamma 90.00
loop_
_atom_site_label
_atom_site_type_symbol
_atom_site_fract_x
_atom_site_fract_y
_atom_site_fract_z
_atom_site_occupancy
Sr1 Sr 0.500 0.500 0.500 1
V1 V 0.000 0.000 0.000 1
S1 S 0.000 0.000 0.500 1
Hg1 Hg 0.500 0.000 0.000 1
Hg2 Hg 0.000 0.500 0.000 1
# total moment = 1.708 μB per formula unit
# calculated total energy = -17.3 eV for the cell shown
# E_form (uncorrected) = -0.34 eV per atom

---

[11]
# GGA-PBE Rb2Pa2Te7, relaxed
data_Rb2Pa2Te7
_chemical_formula_sum 'Rb2 Pa2 Te7'
_space_group_name_H-M_alt 'P 1'
_space_group_IT_number 1
_space_group_name_Hall 'P 1'
_cell_length_a 7.159
_cell_length_b 9.143
_cell_length_c 7.159
_cell_angle_alpha 89.99
_cell_angle_beta 97.89
_cell_angle_gamma 90.01
loop_
_atom_site_label
_atom_site_type_symbol
_atom_site_fract_x
_atom_site_fract_y
_atom_site_fract_z
_atom_site_occupancy
Te1 Te 0.500 0.784 0.000 1
Rb1 Rb 0.769 0.500 0.769 1
Rb2 Rb 0.231 0.500 0.231 1
Te2 Te 0.500 0.792 0.500 1
Pa1 Pa 0.726 0.000 0.274 1
Te3 Te 0.000 0.216 0.500 1
Te4 Te 0.500 0.208 0.500 1
Te5 Te 0.000 0.784 0.500 1
Te6 Te 0.500 0.216 0.000 1
Te7 Te 0.000 0.000 0.000 1
Pa2 Pa 0.274 0.000 0.726 1
# total moment = 0.000 μB per formula unit
# calculated total energy = -51.6 eV for the cell shown
# offset from the most stable computed form = 0 meV per atom
# E_form (uncorrected) = -0.79 eV per atom

---

[12]
# GGA-PBE Ca2PtSO, relaxed
data_Ca2PtSO
_chemical_formula_sum 'Ca2 Pt1 S1 O1'
_space_group_name_H-M_alt 'P 1'
_space_group_IT_number 1
_space_group_name_Hall 'P 1'
_cell_length_a 5.282
_cell_length_b 4.332
_cell_length_c 5.282
_cell_angle_alpha 90.00
_cell_angle_beta 90.00
_cell_angle_gamma 90.00
loop_
_atom_site_label
_atom_site_type_symbol
_atom_site_fract_x
_atom_site_fract_y
_atom_site_fract_z
_atom_site_occupancy
Ca1 Ca 0.000 0.000 0.500 1
O1 O 0.500 0.500 0.500 1
Pt1 Pt 0.000 0.500 0.000 1
Ca2 Ca 0.500 0.000 0.000 1
S1 S 0.000 0.000 0.000 1
# total moment = 0.000 μB per formula unit
# calculated total energy = -23.2 eV for the cell shown
# E_form (uncorrected) = -0.81 eV per atom